[1]
## TbGa2Pd (PBE)

Data for TbGa2Pd after structural relaxation.

Electronic total energy, eV/atom: -4.56

abc: 4.481 4.146 4.146
angles: 90.00 90.00 90.00
Fractional coordinates of all 4 atoms:
Tb 0.500 0.500 0.500
Ga 0.000 0.000 0.500
Ga 0.000 0.500 0.000
Pd 0.500 0.000 0.000

---

[2]
## TbGa4Pd6 (PBE)

Data for TbGa4Pd6 after structural relaxation.

Offset from the most stable computed form, eV/f.u.: 0.00
Electronic total energy, eV/atom: -5.11

abc: 3.892 7.375 7.375
angles: 120.00 90.00 90.00
Fractional coordinates of all 11 atoms:
Tb 0.000 0.000 0.000
Ga 0.500 0.802 0.603
Ga 0.500 0.397 0.198
Ga 0.500 0.802 0.198
Ga 0.000 0.333 0.667
Pd 0.000 0.534 0.067
Pd 0.500 0.606 0.803
Pd 0.000 0.534 0.466
Pd 0.000 0.933 0.466
Pd 0.500 0.197 0.803
Pd 0.500 0.197 0.394

---

Volume: 19.3; 16.7 (Å³ per atom)